! BaNaBiWO6, relaxed, DFT PBE with a Hubbard U; values from VASP
&SYSTEM
  ibrav = 0, nat = 10, ntyp = 5
/
ATOMIC_SPECIES
Ba 137.33 Ba.upf
Na 22.99 Na.upf
Bi 208.98 Bi.upf
W 183.84 W.upf
O 16.00 O.upf
CELL_PARAMETERS angstrom
0.000 4.283 4.283
4.283 0.000 4.283
4.283 4.283 0.000
ATOMIC_POSITIONS crystal
Ba 0.000 0.000 0.000
Na 0.500 0.500 0.500
Bi 0.250 0.250 0.250
W 0.750 0.750 0.750
O 0.522 0.522 0.978
O 0.522 0.978 0.522
O 0.522 0.978 0.978
O 0.978 0.522 0.522
O 0.978 0.522 0.978
O 0.978 0.978 0.522
! Calculated volume: 15.71 Å³ per atom
! Total DFT energy (no corrections): -0.470 Ry/atom
! Crystal system: cubic